## P
Sr2MoW: PBEsol geometry, meta-GGA SCAN.

Cell lengths 3.9831, 4.0215, 6.0974 Å; angles 109.25, 109.06, 90.00 degrees
Element x y z (fractional)
Mo (0.5000, 0.0000, 0.0000)
W (0.0000, 0.5000, 0.0000)
Sr (0.2490, 0.2490, 0.4981)
Sr (0.7510, 0.7510, 0.5019)

## Properties
* volume: 21.6 Å³/atom
* DOS(E_F): 2.62 states/eV/f.u.
* space group: Immm

## Q
Sr2MoW: PBEsol geometry, meta-GGA SCAN.

Cell lengths 3.5051, 5.6495, 6.2892 Å; angles 116.69, 106.18, 90.00 degrees
Element x y z (fractional)
Sr (0.0219, 0.0219, 0.0438)
Sr (0.2277, 0.7277, 0.4554)
Mo (0.8001, 0.3001, 0.6002)
W (0.4503, 0.4503, 0.9006)

## Properties
* volume: 26.4 Å³/atom
* DOS(E_F): 2.45 states/eV/f.u.
* space group: Imm2

Going by the energies, Q is most stable and the next is 0.563 eV/atom up.

## P
SrY2Mo: PBEsol geometry, meta-GGA SCAN.

Cell lengths 3.2952, 5.2773, 7.1211 Å; angles 93.75, 90.00, 108.19 degrees
Element x y z (fractional)
Y (0.0047, 0.0094, 0.0623)
Y (0.7572, 0.5144, 0.2998)
Sr (0.2415, 0.4831, 0.7245)
Mo (0.4966, 0.9931, 0.4134)

## Properties
* volume: 29.3 Å³/atom
* DOS(E_F): 3.02 states/eV/f.u.
* space group: Cm

## Q
SrY2Mo: PBEsol geometry, meta-GGA SCAN.

Cell lengths 4.7174, 4.7174, 5.7824 Å; angles 114.07, 114.07, 90.00 degrees
Element x y z (fractional)
Mo (0.5000, 0.5000, 0.0000)
Sr (0.2500, 0.7500, 0.5000)
Y (0.7500, 0.2500, 0.5000)
Y (0.0000, 0.0000, 0.0000)

## Properties
* volume: 26.3 Å³/atom
* DOS(E_F): 3.08 states/eV/f.u.
* space group: I-4m2

## R
SrY2Mo: PBEsol geometry, meta-GGA SCAN.

Cell lengths 3.4064, 5.1124, 6.9040 Å; angles 90.00, 104.26, 90.00 degrees
Element x y z (fractional)
Mo (0.6562, 0.0000, 0.4364)
Y (0.5752, 0.5000, 0.2760)
Y (0.9727, 0.0000, 0.0694)
Sr (0.2959, 0.5000, 0.7182)

## Properties
* volume: 29.1 Å³/atom
* DOS(E_F): 2.90 states/eV/f.u.
* space group: Amm2

Going by the energies, R is most stable and the next is 0.058 eV/atom up.

## P
SrZrMo2: PBEsol geometry, meta-GGA SCAN.

Cell lengths 2.7919, 5.7565, 5.7565 Å; angles 117.90, 98.80, 98.80 degrees
Element x y z (fractional)
Mo (0.0000, 0.5000, 0.0000)
Mo (0.0000, 0.0000, 0.5000)
Sr (0.5000, 0.0000, 0.0000)
Zr (0.5000, 0.5000, 0.5000)

## Properties
* volume: 19.5 Å³/atom
* DOS(E_F): 4.39 states/eV/f.u.
* space group: C2/m

## Q
SrZrMo2: PBEsol geometry, meta-GGA SCAN.

Cell lengths 4.0119, 4.0119, 4.9257 Å; angles 90.00, 90.00, 90.00 degrees
Element x y z (fractional)
Mo (0.0000, 0.5000, 0.0000)
Mo (0.5000, 0.0000, 0.0000)
Zr (0.0000, 0.0000, 0.5000)
Sr (0.5000, 0.5000, 0.5000)

## Properties
* volume: 19.8 Å³/atom
* DOS(E_F): 4.92 states/eV/f.u.
* space group: P4/mmm

Going by the energies, P is most stable and the next is 0.163 eV/atom up.

## P
Sr2ZrMo: PBEsol geometry, meta-GGA SCAN.

Cell lengths 3.6043, 3.6043, 9.2937 Å; angles 90.00, 90.00, 90.00 degrees
Element x y z (fractional)
Zr (0.0000, 0.0000, 0.5757)
Sr (0.5000, 0.5000, 0.3077)
Sr (0.0000, 0.0000, 0.9314)
Mo (0.5000, 0.5000, 0.6851)

## Properties
* volume: 30.2 Å³/atom
* DOS(E_F): 4.18 states/eV/f.u.
* space group: P4mm

## Q
Sr2ZrMo: PBEsol geometry, meta-GGA SCAN.

Cell lengths 3.3292, 4.2094, 9.7479 Å; angles 102.47, 99.83, 90.00 degrees
Element x y z (fractional)
Sr (0.6571, 0.6571, 0.3142)
Sr (0.3429, 0.3429, 0.6858)
Mo (0.0000, 0.5000, 0.0000)
Zr (0.5000, 0.0000, 0.0000)

## Properties
* volume: 32.8 Å³/atom
* DOS(E_F): 4.59 states/eV/f.u.
* space group: Immm

## R
Sr2ZrMo: PBEsol geometry, meta-GGA SCAN.

Cell lengths 3.0584, 5.4462, 6.0384 Å; angles 90.00, 90.00, 90.00 degrees
Element x y z (fractional)
Sr (0.0000, 0.0000, 0.7419)
Sr (0.0000, 0.0000, 0.2581)
Zr (0.5000, 0.5000, 0.0000)
Mo (0.5000, 0.5000, 0.5000)

## Properties
* volume: 25.1 Å³/atom
* DOS(E_F): 4.88 states/eV/f.u.
* space group: Pmmm

Going by the energies, P is most stable and the next is 0.146 eV/atom up.